(1)
The following is a GGA-PBE calculation of crystalline ScCoHgPb at its relaxed geometry, from OQMD.

abc: 4.7676 4.7676 4.7676
angles: 60.00 60.00 60.00
Fractional positions:
Sc: 0.2500 0.2500 0.2500
Hg: 0.5000 0.5000 0.5000
Co: 0.7500 0.7500 0.7500
Pb: 0.0000 0.0000 0.0000

Results
Calculated total energy in eV/cell: -17.23
SG: F-43m (216)

---

(2)
The following is a GGA-PBE calculation of crystalline GdBeNi at its relaxed geometry, from OQMD.

abc: 4.2304 4.2304 4.2304
angles: 60.00 60.00 60.00
Fractional positions:
Be: 0.0000 0.0000 0.0000
Ni: 0.7500 0.7500 0.7500
Gd: 0.2500 0.2500 0.2500

Results
Calculated total energy in eV/cell: -13.35
SG: F-43m (216)

---

(3)
The following is a GGA-PBE calculation of crystalline BaTmCuTeS2 at its relaxed geometry, from OQMD.

abc: 7.6209 7.6209 10.8633
angles: 90.00 90.00 149.03
Fractional positions:
S: 0.3867 0.6133 0.5732
Ba: 0.2173 0.7827 0.2500
Te: 0.9086 0.0914 0.2500
Tm: 0.0000 0.0000 0.0000
Ba: 0.7827 0.2173 0.7500
Cu: 0.5226 0.4774 0.2500
S: 0.6133 0.3867 0.4268
Cu: 0.4774 0.5226 0.7500
S: 0.6133 0.3867 0.0732
S: 0.3867 0.6133 0.9268
Te: 0.0914 0.9086 0.7500
Tm: 0.0000 0.0000 0.5000

Results
Calculated total energy in eV/cell: -61.01
SG: Cmcm (63)

---

(4)
The following is a GGA-PBE calculation of crystalline CsGdAgTe3 at its relaxed geometry, from OQMD.

abc: 9.0475 9.0475 11.5304
angles: 90.00 90.00 152.23
Fractional positions:
Te: 0.8763 0.1237 0.5466
Ag: 0.0379 0.9621 0.2500
Cs: 0.2498 0.7502 0.7500
Ag: 0.9621 0.0379 0.7500
Te: 0.8763 0.1237 0.9534
Cs: 0.7502 0.2498 0.2500
Te: 0.1237 0.8763 0.0466
Te: 0.5662 0.4338 0.7500
Te: 0.4338 0.5662 0.2500
Gd: 0.5000 0.5000 0.5000
Gd: 0.5000 0.5000 0.0000
Te: 0.1237 0.8763 0.4534

Results
Calculated total energy in eV/cell: -46.77
SG: Cmcm (63)

---

(5)
The following is a GGA-PBE calculation of crystalline Er3MgZn2InGa2 at its relaxed geometry, from OQMD.

abc: 4.4367 7.0185 7.0185
angles: 118.81 90.00 90.00
Fractional positions:
Ga: 0.5000 0.6625 0.3261
In: 0.0000 0.0111 0.0111
Mg: 0.5000 0.7601 0.7601
Zn: 0.5000 0.2563 0.0020
Ga: 0.5000 0.3261 0.6625
Er: 0.0000 0.9953 0.5484
Er: 0.0000 0.5484 0.9953
Zn: 0.5000 0.0020 0.2563
Er: 0.0000 0.4382 0.4382

Results
Calculated total energy in eV/cell: -31.00
SG: Amm2 (38)

---

(6)
The following is a GGA-PBE calculation of crystalline SrZrAl at its relaxed geometry, from OQMD.

abc: 8.6611 8.6611 6.6095
angles: 90.00 90.00 159.31
Fractional positions:
Sr: 0.3282 0.6718 0.7500
Al: 0.5000 0.5000 0.0000
Sr: 0.6718 0.3282 0.2500
Zr: 0.6335 0.3665 0.7500
Zr: 0.3665 0.6335 0.2500
Al: 0.5000 0.5000 0.5000

Results
Calculated total energy in eV/cell: -24.52
SG: Cmcm (63)